Below is Ca2TlTeF after structural relaxation, with properties calculated at the PBE level.

Cell: 4.9261 4.9261 5.6872 Å, 90.00 90.00 90.00°
Atoms (fractional coordinates):
Ca 0.0000 0.5000 0.0000
Ca 0.5000 0.0000 0.0000
Tl 0.0000 0.0000 0.5000
Te 0.5000 0.5000 0.5000
F 0.0000 0.0000 0.0000

* DOS(E_F): 0.34 states/eV/atom
* space group: P4/mmm (123)
* volume: 138.01 Å³/cell
* formation energy without anion corrections: -29.02 kcal/mol of atoms